(1)
## Th2SiSe (GGA-PBE)

Data for a geometry-optimized Th2SiSe structure.

Geometry as POSCAR:
```
Th2SiSe
1.0
4.126 0.000 0.000
-2.063 3.573 0.000
0.000 0.000 7.347
Th Si Se
2 1 1
direct
0.333 0.667 0.232
0.667 0.333 0.768
0.000 0.000 0.000
0.000 0.000 0.500
```

Results
Formation energy (no corrections), eV per atom: -1.1082
Total energy, eV/atom: -7.0450
DOS(E_F), states/eV per cell: 2.25
Relative energy among the computed polymorphs, eV/atom: 0.075
Total magnetic moment, μB/f.u.: 0.0

(2)
## Th7SiSe5 (GGA-PBE)

Data for a geometry-optimized Th7SiSe5 structure.

Geometry as POSCAR:
```
Th7SiSe5
1.0
6.903 -2.028 0.000
6.903 2.028 0.000
-0.731 0.000 25.395
Th Si Se
14 2 10
direct
0.000 0.000 0.000
0.002 0.002 0.574
0.137 0.137 0.354
0.160 0.160 0.217
0.271 0.271 0.920
0.287 0.287 0.650
0.434 0.434 0.425
0.450 0.450 0.155
0.562 0.562 0.857
0.584 0.584 0.721
0.719 0.719 0.501
0.722 0.722 0.075
0.841 0.841 0.784
0.880 0.880 0.291
0.185 0.185 0.802
0.537 0.537 0.273
0.075 0.075 0.465
0.080 0.080 0.109
0.360 0.360 0.538
0.361 0.361 0.037
0.642 0.642 0.966
0.646 0.646 0.610
0.784 0.784 0.392
0.805 0.805 0.183
0.917 0.917 0.892
0.937 0.937 0.682
```

Results
Formation energy (no corrections), eV per atom: -1.2341
Total energy, eV/atom: -6.9868
DOS(E_F), states/eV per cell: 22.13
Total magnetic moment, μB/f.u.: 0.0

(3)
## Th6Si5Se (GGA-PBE)

Data for a geometry-optimized Th6Si5Se structure.

Geometry as POSCAR:
```
Th6Si5Se
1.0
3.694 -6.396 0.000
3.694 6.396 0.000
-2.459 0.000 6.957
Th Si Se
6 5 1
direct
0.076 0.415 0.745
0.246 0.246 0.253
0.415 0.076 0.745
0.585 0.924 0.255
0.754 0.754 0.747
0.924 0.585 0.255
0.000 0.000 0.500
0.167 0.833 0.000
0.336 0.664 0.500
0.664 0.336 0.500
0.833 0.167 0.000
0.500 0.500 0.000
```

Results
Formation energy (no corrections), eV per atom: -0.8333
Total energy, eV/atom: -7.0932
DOS(E_F), states/eV per cell: 5.14
Total magnetic moment, μB/f.u.: 0.0

(4)
## Th6SiSe5 (GGA-PBE)

Data for a geometry-optimized Th6SiSe5 structure.

Geometry as POSCAR:
```
Th6SiSe5
1.0
3.664 -6.335 0.000
3.664 6.335 0.000
-2.430 0.000 6.864
Th Si Se
6 1 5
direct
0.081 0.406 0.744
0.242 0.242 0.253
0.406 0.081 0.744
0.594 0.919 0.256
0.758 0.758 0.747
0.919 0.594 0.256
0.000 0.000 0.500
0.169 0.831 0.000
0.334 0.666 0.500
0.500 0.500 0.000
0.666 0.334 0.500
0.831 0.169 0.000
```

Results
Formation energy (no corrections), eV per atom: -1.4441
Total energy, eV/atom: -7.0578
DOS(E_F), states/eV per cell: 7.88
Total magnetic moment, μB/f.u.: 0.0

(5)
## Th5SiSe5 (GGA-PBE)

Data for a geometry-optimized Th5SiSe5 structure.

Geometry as POSCAR:
```
Th5SiSe5
1.0
6.626 -2.967 0.000
6.626 2.967 0.000
-2.650 0.000 7.966
Th Si Se
5 1 5
direct
0.000 0.000 0.000
0.336 0.336 0.160
0.339 0.339 0.676
0.661 0.661 0.324
0.664 0.664 0.840
0.500 0.500 0.000
0.159 0.159 0.818
0.165 0.165 0.340
0.500 0.500 0.500
0.835 0.835 0.660
0.841 0.841 0.182
```

Results
Formation energy (no corrections), eV per atom: -1.4852
Total energy, eV/atom: -6.9348
DOS(E_F), states/eV per cell: 8.09
Total magnetic moment, μB/f.u.: 0.0

(6)
## Th3Si2Se (GGA-PBE)

Data for a geometry-optimized Th3Si2Se structure.

Geometry as POSCAR:
```
Th3Si2Se
1.0
5.943 0.000 0.000
0.000 13.115 0.000
-2.187 0.000 7.880
Th Si Se
12 8 4
direct
0.182 0.089 0.157
0.182 0.411 0.657
0.249 0.742 0.173
0.249 0.758 0.673
0.269 0.082 0.673
0.269 0.418 0.173
0.731 0.582 0.827
0.731 0.918 0.327
0.751 0.242 0.327
0.751 0.258 0.827
0.818 0.589 0.343
0.818 0.911 0.843
0.283 0.248 0.930
0.283 0.252 0.430
0.355 0.578 0.456
0.355 0.922 0.956
0.645 0.078 0.044
0.645 0.422 0.544
0.717 0.748 0.570
0.717 0.752 0.070
0.246 0.581 0.907
0.246 0.919 0.407
0.754 0.081 0.593
0.754 0.419 0.093
```

Results
Formation energy (no corrections), eV per atom: -0.9066
Total energy, eV/atom: -7.0049
DOS(E_F), states/eV per cell: 16.57
Total magnetic moment, μB/f.u.: 0.0

(7)
## Th5SiSe4 (GGA-PBE)

Data for a geometry-optimized Th5SiSe4 structure.

Geometry as POSCAR:
```
Th5SiSe4
1.0
-2.132 2.980 10.450
2.132 -2.980 10.450
2.132 2.980 -10.450
Th Si Se
5 1 4
direct
0.000 0.000 0.000
0.201 0.201 0.000
0.403 0.403 0.000
0.597 0.597 0.000
0.799 0.799 0.000
0.500 0.000 0.500
0.101 0.601 0.500
0.301 0.801 0.500
0.699 0.199 0.500
0.899 0.399 0.500
```

Results
Formation energy (no corrections), eV per atom: -1.4119
Total energy, eV/atom: -7.0579
DOS(E_F), states/eV per cell: 6.14
Total magnetic moment, μB/f.u.: 0.0

(8)
## Th2SiSe (GGA-PBE)

Data for a geometry-optimized Th2SiSe structure.

Geometry as POSCAR:
```
Th2SiSe
1.0
2.069 1.194 7.420
-2.069 1.194 7.420
0.000 -2.389 7.420
Th Si Se
2 1 1
direct
0.000 0.000 0.000
0.184 0.184 0.184
0.591 0.591 0.591
0.760 0.760 0.760
```

Results
Formation energy (no corrections), eV per atom: -1.1216
Total energy, eV/atom: -7.0584
DOS(E_F), states/eV per cell: 1.47
Relative energy among the computed polymorphs, eV/atom: 0.061
Total magnetic moment, μB/f.u.: 0.0

> What is the total magnetic moment in the sixth record?

0.0 μB/f.u.

> Among the records above, which one has the highest formation energy (no corrections)?

Th6Si5Se

> Number 8 is which compound?

Th2SiSe